No. 1
BaPuCu10 | PBE | optimized geometry

Calculated values
* DOS(E_F): 17.736 states/eV per cell
* M_tot: 0.4987 μB per atom
* energy of formation from the pure elements: 0.1 eV/f.u.
* crystal system: orthorhombic

Structure (POSCAR):
```
BaPuCu10
1.0
-1.607 -0.002 3.676
2.564 -4.501 1.118
7.132 4.838 3.120
Cu Pu Ba
10 1 1
Cartesian
2.401 -1.491 1.049
2.762 2.418 3.398
5.278 2.622 4.498
2.810 -2.287 3.417
2.289 1.553 1.002
7.295 1.829 3.190
0.479 -2.252 2.397
6.607 0.289 5.078
1.481 0.046 2.837
4.842 3.285 2.119
0.000 0.000 0.000
4.848 0.169 2.119
```



No. 2
BaPuCu | PBE | optimized geometry

Calculated values
* DOS(E_F): 15.001 states/eV per cell
* M_tot: 2.1701 μB per atom
* energy of formation from the pure elements: 0.3 eV/f.u.
* crystal system: tetragonal

Structure (POSCAR):
```
BaPuCu
1.0
-0.960 3.965 -1.922
-0.973 -2.109 -3.865
-9.110 -0.864 2.765
Cu Pu Ba
2 2 2
Cartesian
-3.147 -1.307 -1.125
-6.930 1.371 0.997
-5.521 0.496 -1.511
-4.555 -0.432 1.383
-8.124 -1.779 0.386
-1.953 1.843 -0.514
```



No. 3
BaPu4Cu3S12 | PBE | optimized geometry

Calculated values
* DOS(E_F): 39.384 states/eV per cell
* M_tot: 0.8149 μB per atom
* crystal system: cubic
* calculated total energy: -7.033 eV per atom

Structure (POSCAR):
```
BaPu4Cu3S12
1.0
8.417 0.000 0.000
-2.806 7.936 0.000
-2.806 -3.968 6.873
Pu S Cu Ba
4 12 3 1
Cartesian
1.403 1.984 3.436
4.209 0.000 0.000
-1.403 3.968 0.000
-1.403 -1.984 3.436
-0.893 2.541 2.196
1.913 4.599 3.574
2.918 -2.063 5.779
0.112 2.068 5.770
5.724 -0.005 2.196
4.718 4.763 1.103
0.893 -0.631 3.299
-0.112 6.031 1.094
-2.918 3.973 4.676
2.693 1.899 1.103
3.699 1.427 4.676
-1.913 -0.795 5.770
2.806 3.968 0.000
-2.806 1.984 3.436
2.806 -1.984 3.436
0.000 0.000 0.000
```



No. 4
BaPu2CuS4 | PBE | optimized geometry

Calculated values
* DOS(E_F): 33.303 states/eV per cell
* M_tot: 1.3734 μB per atom
* crystal system: orthorhombic
* calculated total energy: -7.978 eV per atom

Structure (POSCAR):
```
BaPu2CuS4
1.0
-0.551 -2.757 -2.917
0.842 -3.576 6.035
-13.534 0.435 2.146
Cu Ba S Pu
2 2 8 4
Cartesian
-10.040 -4.431 3.272
-3.203 -1.467 1.992
-3.217 -5.140 2.652
-10.027 -0.758 2.611
0.000 0.000 0.000
-3.582 -1.945 -0.298
-6.767 0.218 1.073
-1.261 -2.565 2.663
-8.336 -3.450 2.022
-9.662 -3.953 5.562
-11.982 -3.333 2.601
-4.908 -2.448 3.241
-7.136 -3.401 4.563
-0.911 -2.665 -0.123
-12.333 -3.233 5.387
-6.108 -2.498 0.701
```



No. 5
Ba2PuCuS5 | PBE | optimized geometry

Calculated values
* DOS(E_F): 12.919 states/eV per cell
* M_tot: 0.3367 μB per atom
* crystal system: orthorhombic
* calculated total energy: -6.234 eV per atom

Structure (POSCAR):
```
Ba2PuCuS5
1.0
4.116 0.000 0.000
-2.058 8.938 0.000
0.000 0.000 12.853
Cu S Pu Ba
2 10 2 4
Cartesian
2.058 1.206 11.945
0.000 7.732 5.518
0.000 5.368 8.453
2.058 3.570 2.026
2.058 0.040 9.992
0.000 0.947 0.179
2.058 2.805 6.619
0.000 6.133 0.192
2.058 7.991 6.605
0.000 5.442 4.914
2.058 3.495 11.341
0.000 8.898 3.565
2.058 5.410 6.692
0.000 3.527 0.266
0.000 2.113 8.960
0.000 2.140 4.250
2.058 6.825 2.533
2.058 6.798 10.677
```



No. 6
BaPu2Cu2S6 | PBE | optimized geometry

Calculated values
* DOS(E_F): 15.590 states/eV per cell
* M_tot: 0.7273 μB per atom
* crystal system: triclinic
* calculated total energy: -6.971 eV per atom

Structure (POSCAR):
```
BaPu2Cu2S6
1.0
7.185 0.022 -0.024
3.636 6.563 -0.370
-0.057 -4.060 6.302
S Pu Cu Ba
6 2 2 1
Cartesian
6.314 -0.696 2.517
4.450 3.221 3.390
5.774 4.963 -0.017
2.303 0.293 4.883
4.990 -2.438 5.924
8.461 2.232 1.024
7.162 -1.063 5.072
3.602 3.588 0.835
6.608 0.957 1.086
4.156 1.568 4.822
3.564 -2.019 3.139
```



No. 7
BaPuCuS4 | PBE | optimized geometry

Calculated values
* DOS(E_F): 15.670 states/eV per cell
* M_tot: 0.5998 μB per atom
* crystal system: monoclinic
* calculated total energy: -6.536 eV per atom

Structure (POSCAR):
```
BaPuCuS4
1.0
6.786 0.000 0.050
0.000 5.629 0.000
-2.612 0.000 8.307
S Ba Cu Pu
8 2 2 2
Cartesian
5.927 2.715 2.413
2.824 1.407 3.498
1.351 4.222 4.859
5.927 0.099 2.413
1.566 1.407 7.080
-1.752 5.530 5.944
2.608 4.222 1.277
-1.752 2.914 5.944
1.610 1.407 0.520
2.565 4.222 7.837
3.362 1.407 5.689
0.813 4.222 2.668
3.836 4.222 3.700
0.339 1.407 4.657
```



No. 8
BaPuCu2S4 | PBE | optimized geometry

Calculated values
* DOS(E_F): 14.050 states/eV per cell
* M_tot: 0.5187 μB per atom
* crystal system: orthorhombic
* calculated total energy: -6.106 eV per atom

Structure (POSCAR):
```
BaPuCu2S4
1.0
6.504 0.000 0.000
3.252 5.456 0.089
3.252 0.536 5.431
Cu S Ba Pu
2 4 1 1
Cartesian
3.252 2.018 1.859
9.756 3.974 3.661
8.097 3.212 4.874
8.097 2.780 0.646
4.911 0.871 2.718
4.911 5.121 2.802
0.000 0.000 0.000
6.504 2.996 2.760
```



No. 9
Ba2PuCu2Se6 | PBE | optimized geometry

Calculated values
* DOS(E_F): 11.240 states/eV per cell
* M_tot: 0.4000 μB per atom
* crystal system: monoclinic
* calculated total energy: -5.358 eV per atom

Structure (POSCAR):
```
Ba2PuCu2Se6
1.0
6.287 0.000 0.000
-3.143 6.758 -0.156
0.000 -4.041 7.695
Ba Se Cu Pu
2 6 2 1
Cartesian
3.143 1.945 1.572
0.000 0.771 5.967
-1.543 5.141 1.285
1.543 5.141 1.285
1.601 -2.425 6.253
3.143 0.638 4.633
0.000 2.078 2.905
4.686 -2.425 6.253
3.143 2.733 5.556
0.000 -0.017 1.983
3.143 -2.021 3.847
```



No. 10
BaPu4Cu3Se12 | PBE | optimized geometry

Calculated values
* DOS(E_F): 43.495 states/eV per cell
* M_tot: 0.9028 μB per atom
* crystal system: cubic
* calculated total energy: -6.522 eV per atom

Structure (POSCAR):
```
BaPu4Cu3Se12
1.0
-1.167 7.295 4.913
-6.653 -0.740 -5.822
0.119 -7.131 5.277
Se Cu Pu Ba
12 3 4 1
Cartesian
-1.372 -1.195 3.182
-5.678 -4.307 -0.515
-2.024 3.731 4.882
-5.954 0.560 -2.467
-5.477 4.478 0.997
-3.336 -1.486 -0.319
-2.224 -5.054 3.370
-5.026 -2.705 3.044
-6.329 0.619 1.185
-2.675 2.129 1.323
-1.748 -1.136 6.834
-4.365 0.910 4.686
-3.910 3.278 -0.455
-0.524 0.082 5.095
-3.267 -3.936 -0.273
-3.327 -0.370 -2.911
0.059 -3.566 2.638
-0.583 3.647 2.456
-3.851 -0.288 2.183
0.000 0.000 0.000
```



No. 11
BaPuCu2Te4 | PBE | optimized geometry

Calculated values
* DOS(E_F): 15.309 states/eV per cell
* M_tot: 0.5908 μB per atom
* crystal system: orthorhombic
* calculated total energy: -5.203 eV per atom

Structure (POSCAR):
```
BaPuCu2Te4
1.0
7.027 0.000 0.000
3.513 5.990 -0.020
3.513 0.471 5.972
Pu Cu Te Ba
1 2 4 1
Cartesian
7.027 3.231 2.976
10.540 4.174 3.845
3.513 2.287 2.107
8.768 3.037 0.423
5.286 0.670 2.992
5.286 5.791 2.960
8.768 3.424 5.529
0.000 0.000 0.000
```



No. 12
Rb3BaCu | PBE | optimized geometry

Calculated values
* DOS(E_F): 1.117 states/eV per cell
* M_tot: 0.4000 μB per atom
* energy of formation from the pure elements: 4.6 eV/f.u.
* crystal system: cubic

Structure (POSCAR):
```
Rb3BaCu
1.0
-0.982 -7.079 -4.947
8.627 -0.571 -0.895
0.404 -5.011 7.090
Rb Cu Ba
3 1 1
Cartesian
4.313 -0.286 -0.447
-0.491 -3.539 -2.474
0.202 -2.506 3.545
4.024 -6.331 0.624
0.000 0.000 0.000
```



No. 13
RbBaCu | PBE | optimized geometry

Calculated values
* DOS(E_F): 4.678 states/eV per cell
* M_tot: 0.0000 μB per atom
* energy of formation from the pure elements: 0.6 eV/f.u.
* crystal system: tetragonal

Structure (POSCAR):
```
RbBaCu
1.0
5.833 0.000 0.000
0.000 5.833 0.000
0.000 0.000 9.227
Rb Ba Cu
2 2 2
Cartesian
2.917 0.000 6.183
0.000 2.917 3.044
2.917 0.000 1.293
0.000 2.917 7.934
2.917 2.917 0.000
0.000 0.000 0.000
```



No. 14
Rb2BaCu2 | PBE | optimized geometry

Calculated values
* DOS(E_F): 3.106 states/eV per cell
* M_tot: 0.0000 μB per atom
* energy of formation from the pure elements: 1.5 eV/f.u.
* crystal system: tetragonal

Structure (POSCAR):
```
Rb2BaCu2
1.0
-2.144 5.166 -6.251
2.395 -5.774 -5.593
-5.285 -2.193 0.000
Cu Rb Ba
4 4 2
Cartesian
1.297 -3.128 -7.489
0.727 -1.752 -2.865
-1.046 2.520 -4.354
-0.475 1.144 -8.979
-1.404 -4.083 -4.730
-2.060 -2.501 -8.825
-2.973 -0.300 -3.018
-3.630 1.282 -7.113
0.000 0.000 0.000
0.126 -0.304 -5.922
```



No. 15
RbBa2Cu2 | PBE | optimized geometry

Calculated values
* DOS(E_F): 5.106 states/eV per cell
* M_tot: 0.0000 μB per atom
* energy of formation from the pure elements: 1.1 eV/f.u.
* crystal system: tetragonal

Structure (POSCAR):
```
RbBa2Cu2
1.0
5.689 0.000 0.000
0.000 5.689 0.000
2.845 2.845 6.110
Cu Ba Rb
2 2 1
Cartesian
2.845 2.845 1.231
5.689 5.689 4.878
5.689 2.845 3.055
2.845 5.689 3.055
0.000 0.000 0.000
```



No. 16
RbBa2Cu2 | PBE | optimized geometry

Calculated values
* DOS(E_F): 11.960 states/eV per cell
* M_tot: 0.0000 μB per atom
* energy of formation from the pure elements: 0.6 eV/f.u.
* crystal system: tetragonal

Structure (POSCAR):
```
RbBa2Cu2
1.0
-5.944 -4.785 4.972
4.525 -7.657 -1.959
2.664 0.609 3.771
Cu Ba Rb
4 4 2
Cartesian
1.692 -8.827 0.231
-3.111 -3.615 2.782
1.234 -3.546 -0.299
-2.653 -8.896 3.311
-2.120 -6.295 5.390
3.365 -5.538 1.394
1.190 -9.280 3.534
0.055 -2.553 3.249
0.000 0.000 0.000
-0.709 -6.221 1.506
```



No. 17
RbBa2Cu2 | PBE | optimized geometry

Calculated values
* DOS(E_F): 3.501 states/eV per cell
* M_tot: 0.0000 μB per atom
* energy of formation from the pure elements: 1.4 eV/f.u.
* crystal system: tetragonal

Structure (POSCAR):
```
RbBa2Cu2
1.0
-3.536 0.307 -4.723
-4.670 -1.187 3.419
-4.997 6.257 0.452
Cu Ba Rb
2 2 1
Cartesian
-6.318 3.062 -2.461
-6.885 2.315 1.610
-8.803 3.594 -0.566
-4.400 1.783 -0.285
0.000 0.000 0.000
```



No. 18
RbBaCu3 | PBE | optimized geometry

Calculated values
* DOS(E_F): 0.243 states/eV per cell
* M_tot: 0.0000 μB per atom
* energy of formation from the pure elements: 4.6 eV/f.u.
* crystal system: cubic

Structure (POSCAR):
```
RbBaCu3
1.0
5.707 0.000 0.000
0.000 5.707 0.000
0.000 0.000 5.707
Cu Rb Ba
3 1 1
Cartesian
0.000 0.000 2.854
0.000 2.854 0.000
2.854 0.000 0.000
0.000 0.000 0.000
2.854 2.854 2.854
```



No. 19
RbBaCu3 | PBE | optimized geometry

Calculated values
* DOS(E_F): 0.000 states/eV per cell
* M_tot: 0.0000 μB per atom
* energy of formation from the pure elements: 3.7 eV/f.u.
* crystal system: cubic

Structure (POSCAR):
```
RbBaCu3
1.0
-1.405 5.519 2.125
-5.870 -1.566 0.186
0.717 -2.009 5.692
Rb Cu Ba
1 3 1
Cartesian
-3.279 0.972 4.002
0.358 -1.005 2.846
-0.702 2.760 1.062
-2.935 -0.783 0.093
0.000 0.000 0.000
```



No. 20
Rb2Ba2Cu | PBE | optimized geometry

Calculated values
* DOS(E_F): 11.752 states/eV per cell
* M_tot: 0.0000 μB per atom
* energy of formation from the pure elements: 1.1 eV/f.u.
* crystal system: tetragonal

Structure (POSCAR):
```
Rb2Ba2Cu
1.0
8.714 0.000 0.000
0.000 8.714 0.000
0.000 0.000 8.070
Ba Rb Cu
4 4 2
Cartesian
5.933 1.576 0.000
7.138 5.933 0.000
1.576 2.781 0.000
2.781 7.138 0.000
2.803 1.554 4.035
5.911 7.160 4.035
1.554 5.911 4.035
7.160 2.803 4.035
4.357 4.357 0.000
0.000 0.000 0.000
```